[1]
! ErNi (PBE, relaxed); values from VASP
! formation energy: 0.44 eV per atom
! final energy: -9.2 eV/cell
! space group: F-43m
&SYSTEM
  ibrav = 0, nat = 2, ntyp = 2
/
ATOMIC_SPECIES
Er 167.26 Er.upf
Ni 58.69 Ni.upf
CELL_PARAMETERS angstrom
0.0000 2.9748 2.9748
2.9748 0.0000 2.9748
2.9748 2.9748 0.0000
ATOMIC_POSITIONS angstrom
Er 0.0000 0.0000 0.0000
Ni 4.4623 4.4623 4.4623

=====

[2]
! TmAu (PBE, relaxed); values from VASP
! formation energy: -0.90 eV per atom
! final energy: -19.1 eV/cell
! space group: Cmcm
&SYSTEM
  ibrav = 0, nat = 4, ntyp = 2
/
ATOMIC_SPECIES
Tm 168.93 Tm.upf
Au 196.97 Au.upf
CELL_PARAMETERS angstrom
1.8235 -5.4174 0.0000
1.8235 5.4174 0.0000
0.0000 0.0000 4.6017
ATOMIC_POSITIONS angstrom
Tm 1.8235 3.9003 3.4513
Tm 1.8235 -3.9003 1.1504
Au 1.8235 0.9673 3.4513
Au 1.8235 -0.9673 1.1504

=====

[3]
! CsGdHgTe3 (PBE, relaxed); values from VASP
! E above lowest polymorph: 1 meV/atom
! final energy: -85.0 eV/cell
! space group: Pnma
&SYSTEM
  ibrav = 0, nat = 24, ntyp = 4
/
ATOMIC_SPECIES
Cs 132.91 Cs.upf
Gd 157.25 Gd.upf
Hg 200.59 Hg.upf
Te 127.60 Te.upf
CELL_PARAMETERS angstrom
11.8927 0.0000 0.0000
0.0000 4.5534 0.0000
0.0000 0.0000 17.0346
ATOMIC_POSITIONS angstrom
Cs 2.9061 1.1384 0.0307
Cs 3.0403 3.4151 8.5480
Cs 8.8524 1.1384 8.4866
Cs 8.9866 3.4151 17.0039
Gd 0.0917 3.4151 12.7649
Gd 5.8547 1.1384 4.2476
Gd 6.0381 3.4151 12.7871
Gd 11.8010 1.1384 4.2698
Hg 2.9102 3.4151 3.5395
Hg 3.0362 1.1384 12.0568
Hg 8.8565 3.4151 4.9778
Hg 8.9826 1.1384 13.4951
Te 0.4525 3.4151 2.1588
Te 0.5966 1.1384 10.6460
Te 2.8890 1.1384 5.3814
Te 3.0574 3.4151 13.8987
Te 5.3497 3.4151 2.1287
Te 5.4938 1.1384 10.6761
Te 6.3989 3.4151 6.3585
Te 6.5430 1.1384 14.9060
Te 8.8353 1.1384 3.1360
Te 9.0038 3.4151 11.6533
Te 11.2961 3.4151 6.3887
Te 11.4402 1.1384 14.8758

=====

[4]
! Gd3Ta2P6 (PBE, relaxed); values from VASP
! final energy: -79.5 eV/cell
! space group: I4/mmm
&SYSTEM
  ibrav = 0, nat = 11, ntyp = 3
/
ATOMIC_SPECIES
Gd 157.25 Gd.upf
Ta 180.95 Ta.upf
P 30.97 P.upf
CELL_PARAMETERS angstrom
-2.3513 2.3513 11.2408
2.3513 -2.3513 11.2408
2.3513 2.3513 -11.2408
ATOMIC_POSITIONS angstrom
Gd 0.0000 0.0000 0.0000
Gd 0.0000 0.0000 3.7060
Gd 0.0000 0.0000 18.7756
Ta 0.0000 0.0000 8.8144
Ta 0.0000 0.0000 13.6672
P 2.3513 0.0000 1.8044
P 0.0000 0.0000 6.5131
P 2.3513 0.0000 9.4364
P 0.0000 2.3513 1.8044
P 0.0000 0.0000 15.9685
P 0.0000 2.3513 9.4364

=====

[5]
! KHfFe (PBE, relaxed); values from VASP
! E above lowest polymorph: 813 meV/atom
! final energy: -12.5 eV/cell
! space group: F-43m
&SYSTEM
  ibrav = 0, nat = 3, ntyp = 3
/
ATOMIC_SPECIES
K 39.10 K.upf
Hf 178.49 Hf.upf
Fe 55.84 Fe.upf
CELL_PARAMETERS angstrom
0.0000 3.3626 3.3626
3.3626 0.0000 3.3626
3.3626 3.3626 0.0000
ATOMIC_POSITIONS angstrom
K 0.0000 0.0000 0.0000
Hf 5.0439 5.0439 5.0439
Fe 1.6813 1.6813 1.6813

=====

[6]
! Rb2NpBr6 (PBE, relaxed); values from VASP
! final energy: -38.6 eV/cell
! space group: I4/mmm
&SYSTEM
  ibrav = 0, nat = 9, ntyp = 3
/
ATOMIC_SPECIES
Rb 85.47 Rb.upf
Np 237.00 Np.upf
Br 79.90 Br.upf
CELL_PARAMETERS angstrom
-3.9626 3.9626 5.4899
3.9626 -3.9626 5.4899
3.9626 3.9626 -5.4899
ATOMIC_POSITIONS angstrom
Rb 3.9626 0.0000 2.7449
Rb 0.0000 3.9626 2.7449
Np 0.0000 0.0000 0.0000
Br 1.9583 1.9583 0.0000
Br 2.0043 -2.0043 5.4899
Br 0.0000 0.0000 2.7644
Br 0.0000 0.0000 8.2154
Br -2.0043 2.0043 5.4899
Br 2.0043 2.0043 5.4899

=====

[7]
! CuSb2Te (PBE, relaxed); values from VASP
! final energy: -13.6 eV/cell
! space group: F-43m
&SYSTEM
  ibrav = 0, nat = 4, ntyp = 3
/
ATOMIC_SPECIES
Cu 63.55 Cu.upf
Sb 121.76 Sb.upf
Te 127.60 Te.upf
CELL_PARAMETERS angstrom
0.0000 3.6464 3.6464
3.6464 0.0000 3.6464
3.6464 3.6464 0.0000
ATOMIC_POSITIONS angstrom
Cu 0.0000 0.0000 0.0000
Sb 1.8232 1.8232 1.8232
Sb 3.6464 3.6464 3.6464
Te 5.4696 5.4696 5.4696

=====

[8]
! ScUBi (PBE, relaxed); values from VASP
! final energy: -64.6 eV/cell
! space group: P-62m
&SYSTEM
  ibrav = 0, nat = 9, ntyp = 3
/
ATOMIC_SPECIES
Sc 44.96 Sc.upf
U 238.03 U.upf
Bi 208.98 Bi.upf
CELL_PARAMETERS angstrom
8.0292 0.0000 0.0000
-4.0146 6.9535 0.0000
0.0000 0.0000 4.3070
ATOMIC_POSITIONS angstrom
Sc -1.0302 1.7844 0.0000
Sc 2.0605 0.0000 0.0000
Sc 2.9843 5.1690 0.0000
U -2.3562 4.0811 2.1535
U 1.6583 2.8723 2.1535
U 4.7125 0.0000 2.1535
Bi 0.0000 0.0000 2.1535
Bi 0.0000 4.6356 0.0000
Bi 4.0146 2.3178 0.0000

=====

[9]
! TlAgGeTe2Se (PBE, relaxed); values from VASP
! final energy: -40.4 eV/cell
! space group: Cmcm
&SYSTEM
  ibrav = 0, nat = 12, ntyp = 5
/
ATOMIC_SPECIES
Tl 204.38 Tl.upf
Ag 107.87 Ag.upf
Ge 72.64 Ge.upf
Te 127.60 Te.upf
Se 78.96 Se.upf
CELL_PARAMETERS angstrom
2.0911 -6.5317 0.0000
2.0911 6.5317 0.0000
0.0000 0.0000 11.7485
ATOMIC_POSITIONS angstrom
Tl 2.0911 3.9339 8.8114
Tl 2.0911 -3.9339 2.9371
Ag 2.0911 5.0753 2.9371
Ag 2.0911 -5.0753 8.8114
Ge 2.0911 0.0000 0.0000
Ge 2.0911 0.0000 5.8742
Te 2.0911 4.5060 0.2529
Te 2.0911 4.5060 5.6213
Te 2.0911 -4.5060 6.1272
Te 2.0911 -4.5060 11.4955
Se 2.0911 0.3183 2.9371
Se 2.0911 -0.3183 8.8114

=====

[10]
! Hf2Cu2Si3 (PBE, relaxed); values from VASP
! final energy: -44.9 eV/cell
! space group: R3m
&SYSTEM
  ibrav = 0, nat = 7, ntyp = 3
/
ATOMIC_SPECIES
Hf 178.49 Hf.upf
Cu 63.55 Cu.upf
Si 28.09 Si.upf
CELL_PARAMETERS angstrom
1.9655 1.1348 8.5750
-1.9655 1.1348 8.5750
0.0000 -2.2695 8.5750
ATOMIC_POSITIONS angstrom
Hf 0.0000 0.0000 0.0000
Hf 0.0000 0.0000 12.6946
Cu 0.0000 0.0000 6.1504
Cu 0.0000 0.0000 19.2482
Si 0.0000 0.0000 10.0886
Si 0.0000 0.0000 15.5474
Si 0.0000 0.0000 22.8398

=====

[11]
! Cu2Ag3 (PBE, relaxed); values from VASP
! formation energy: 0.09 eV per atom
! E above lowest polymorph: 59 meV/atom
! final energy: -30.9 eV/cell
! space group: P2_1/m
&SYSTEM
  ibrav = 0, nat = 10, ntyp = 2
/
ATOMIC_SPECIES
Cu 63.55 Cu.upf
Ag 107.87 Ag.upf
CELL_PARAMETERS angstrom
4.8073 0.0000 0.0000
0.0000 2.8497 0.0000
-1.0464 0.0000 11.3777
ATOMIC_POSITIONS angstrom
Cu -0.1778 0.7124 4.6572
Cu 0.8463 2.1373 9.0743
Cu 2.9146 0.7124 2.3034
Cu 3.9387 2.1373 6.7206
Ag 0.4672 2.1373 2.4024
Ag 0.1675 0.7124 11.3347
Ag 1.4540 0.7124 6.8533
Ag 2.3069 2.1373 4.5244
Ag 3.5934 2.1373 0.0430
Ag 3.2937 0.7124 8.9753

=====

[12]
! PmZnFe (PBE, relaxed); values from VASP
! formation energy: 0.40 eV per atom
! E above lowest polymorph: 0 meV/atom
! final energy: -13.1 eV/cell
! space group: F-43m
&SYSTEM
  ibrav = 0, nat = 3, ntyp = 3
/
ATOMIC_SPECIES
Pm 145.00 Pm.upf
Zn 65.41 Zn.upf
Fe 55.84 Fe.upf
CELL_PARAMETERS angstrom
0.0000 3.1523 3.1523
3.1523 0.0000 3.1523
3.1523 3.1523 0.0000
ATOMIC_POSITIONS angstrom
Pm 0.0000 0.0000 0.0000
Zn 4.7284 4.7284 4.7284
Fe 3.1523 3.1523 3.1523

=====

[13]
! Zn4As3 (PBE, relaxed); values from VASP
! E above lowest polymorph: 55 meV/atom
! final energy: -36.0 eV/cell
! space group: P6_3/m
&SYSTEM
  ibrav = 0, nat = 14, ntyp = 2
/
ATOMIC_SPECIES
Zn 65.41 Zn.upf
As 74.92 As.upf
CELL_PARAMETERS angstrom
7.7494 0.0000 0.0000
-3.8747 6.7112 0.0000
0.0000 0.0000 4.8844
ATOMIC_POSITIONS angstrom
Zn -0.9150 3.0957 1.2211
Zn 0.0000 4.4741 3.6633
Zn -0.7363 5.9558 1.2211
Zn 2.2234 2.3403 3.6633
Zn 1.6513 4.3709 1.2211
Zn 4.6110 0.7554 3.6633
Zn 3.8747 2.2371 1.2211
Zn 4.7898 3.6155 3.6633
As -0.6560 2.0361 3.6633
As -1.7834 6.2613 3.6633
As 1.4353 1.5862 1.2211
As 2.4394 5.1251 3.6633
As 5.6582 0.4499 1.2211
As 4.5307 4.6751 1.2211

=====

[14]
! YMgCu (PBE, relaxed); values from VASP
! E above lowest polymorph: 118 meV/atom
! final energy: -24.1 eV/cell
! space group: P6_3/mmc
&SYSTEM
  ibrav = 0, nat = 6, ntyp = 3
/
ATOMIC_SPECIES
Y 88.91 Y.upf
Mg 24.30 Mg.upf
Cu 63.55 Cu.upf
CELL_PARAMETERS angstrom
4.7322 0.0000 0.0000
-2.3661 4.0982 0.0000
0.0000 0.0000 6.6801
ATOMIC_POSITIONS angstrom
Y 0.0000 0.0000 0.0000
Y 0.0000 0.0000 3.3401
Mg 0.0000 2.7321 1.6700
Mg 2.3661 1.3661 5.0101
Cu 0.0000 2.7321 5.0101
Cu 2.3661 1.3661 1.6700

=====

[15]
! In2CoBi (PBE, relaxed); values from VASP
! final energy: -14.7 eV/cell
! space group: F-43m
&SYSTEM
  ibrav = 0, nat = 4, ntyp = 3
/
ATOMIC_SPECIES
In 114.82 In.upf
Co 58.93 Co.upf
Bi 208.98 Bi.upf
CELL_PARAMETERS angstrom
0.0000 3.5628 3.5628
3.5628 0.0000 3.5628
3.5628 3.5628 0.0000
ATOMIC_POSITIONS angstrom
In 0.0000 0.0000 0.0000
In 1.7814 1.7814 1.7814
Co 5.3442 5.3442 5.3442
Bi 3.5628 3.5628 3.5628

=====

[16]
! Hg6Sb5Br7 (PBE, relaxed); values from VASP
! final energy: -160.4 eV/cell
! space group: Pa-3
&SYSTEM
  ibrav = 0, nat = 72, ntyp = 3
/
ATOMIC_SPECIES
Hg 200.59 Hg.upf
Sb 121.76 Sb.upf
Br 79.90 Br.upf
CELL_PARAMETERS angstrom
13.1728 0.0000 0.0000
0.0000 13.1728 0.0000
0.0000 0.0000 13.1728
ATOMIC_POSITIONS angstrom
Hg 0.7137 2.3819 9.2622
Hg 0.7137 4.2046 2.6758
Hg 2.3819 9.2622 0.7137
Hg 2.3819 10.4970 7.3001
Hg 2.6758 0.7137 4.2046
Hg 2.6758 5.8727 10.7910
Hg 3.9106 7.3001 4.2046
Hg 3.9106 12.4591 10.7910
Hg 4.2046 2.6758 0.7137
Hg 4.2046 3.9106 7.3001
Hg 5.8727 8.9683 9.2622
Hg 5.8727 10.7910 2.6758
Hg 7.3001 2.3819 10.4970
Hg 7.3001 4.2046 3.9106
Hg 8.9683 9.2622 5.8727
Hg 8.9683 10.4970 12.4591
Hg 9.2622 0.7137 2.3819
Hg 9.2622 5.8727 8.9683
Hg 10.4970 7.3001 2.3819
Hg 10.4970 12.4591 8.9683
Hg 10.7910 2.6758 5.8727
Hg 10.7910 3.9106 12.4591
Hg 12.4591 8.9683 10.4970
Hg 12.4591 10.7910 3.9106
Sb 0.0000 0.0000 0.0000
Sb 0.0000 6.5864 6.5864
Sb 1.7717 8.3581 11.4011
Sb 1.7717 11.4011 4.8147
Sb 3.1600 3.1600 3.1600
Sb 3.1600 3.4264 9.7464
Sb 3.4264 9.7464 3.1600
Sb 3.4264 10.0128 9.7464
Sb 4.8147 1.7717 11.4011
Sb 4.8147 4.8147 4.8147
Sb 6.5864 0.0000 6.5864
Sb 6.5864 6.5864 0.0000
Sb 8.3581 8.3581 8.3581
Sb 8.3581 11.4011 1.7717
Sb 9.7464 3.1600 3.4264
Sb 9.7464 3.4264 10.0128
Sb 10.0128 9.7464 3.4264
Sb 10.0128 10.0128 10.0128
Sb 11.4011 1.7717 8.3581
Sb 11.4011 4.8147 1.7717
Br 0.0000 0.0000 6.5864
Br 0.0000 6.5864 0.0000
Br 0.5813 7.2808 3.8948
Br 0.5813 12.4785 10.4812
Br 0.6944 2.6917 12.5915
Br 0.6944 3.8948 6.0051
Br 2.6917 7.1678 7.2808
Br 2.6917 12.5915 0.6944
Br 3.8948 0.5813 7.2808
Br 3.8948 6.0051 0.6944
Br 5.8920 9.2781 12.5915
Br 5.8920 10.4812 6.0051
Br 6.0051 0.6944 3.8948
Br 6.0051 5.8920 10.4812
Br 6.5864 0.0000 0.0000
Br 6.5864 6.5864 6.5864
Br 7.1678 7.2808 2.6917
Br 7.1678 12.4785 9.2781
Br 7.2808 2.6917 7.1678
Br 7.2808 3.8948 0.5813
Br 9.2781 7.1678 12.4785
Br 9.2781 12.5915 5.8920
Br 10.4812 0.5813 12.4785
Br 10.4812 6.0051 5.8920
Br 12.4785 9.2781 7.1678
Br 12.4785 10.4812 0.5813
Br 12.5915 0.6944 2.6917
Br 12.5915 5.8920 9.2781

=====

[17]
! NbAg (PBE, relaxed); values from VASP
! formation energy: 0.93 eV per atom
! final energy: -22.1 eV/cell
! space group: P6_3/mmc
&SYSTEM
  ibrav = 0, nat = 4, ntyp = 2
/
ATOMIC_SPECIES
Nb 92.91 Nb.upf
Ag 107.87 Ag.upf
CELL_PARAMETERS angstrom
4.3528 0.0000 0.0000
-2.1764 3.7697 0.0000
0.0000 0.0000 5.0919
ATOMIC_POSITIONS angstrom
Nb 0.0000 0.0000 0.0000
Nb 0.0000 0.0000 2.5459
Ag 0.0000 2.5131 1.2730
Ag 2.1764 1.2566 3.8189

=====

[18]
! BaTaO3 (PBE, relaxed); values from VASP
! final energy: -82.8 eV/cell
! space group: R-3
&SYSTEM
  ibrav = 0, nat = 10, ntyp = 3
/
ATOMIC_SPECIES
Ba 137.33 Ba.upf
Ta 180.95 Ta.upf
O 16.00 O.upf
CELL_PARAMETERS angstrom
2.8748 1.6598 5.5645
-2.8748 1.6598 5.5645
0.0000 -3.3196 5.5645
ATOMIC_POSITIONS angstrom
Ba 0.0000 0.0000 2.1598
Ba 0.0000 0.0000 14.5337
Ta 0.0000 0.0000 5.6534
Ta 0.0000 0.0000 11.0400
O -1.7192 -0.4031 6.7045
O -0.5105 -1.6904 9.9889
O 1.2087 -1.2873 6.7045
O -1.2087 1.2873 9.9889
O 0.5105 1.6904 6.7045
O 1.7192 0.4031 9.9889

=====

[19]
! SmScTe (PBE, relaxed); values from VASP
! E above lowest polymorph: 0 meV/atom
! final energy: -33.9 eV/cell
! space group: P4/nmm
&SYSTEM
  ibrav = 0, nat = 6, ntyp = 3
/
ATOMIC_SPECIES
Sm 150.36 Sm.upf
Sc 44.96 Sc.upf
Te 127.60 Te.upf
CELL_PARAMETERS angstrom
4.2966 0.0000 0.0000
0.0000 4.2966 0.0000
0.0000 0.0000 8.4528
ATOMIC_POSITIONS angstrom
Sm 1.0742 1.0742 1.1920
Sm 3.2225 3.2225 7.2608
Sc 1.0742 3.2225 4.2264
Sc 3.2225 1.0742 4.2264
Te 1.0742 1.0742 6.3900
Te 3.2225 3.2225 2.0628

=====

[20]
! TmZn2GePd4 (PBE, relaxed); values from VASP
! final energy: -37.2 eV/cell
! space group: P4/mmm
&SYSTEM
  ibrav = 0, nat = 8, ntyp = 4
/
ATOMIC_SPECIES
Tm 168.93 Tm.upf
Zn 65.41 Zn.upf
Ge 72.64 Ge.upf
Pd 106.42 Pd.upf
CELL_PARAMETERS angstrom
4.4694 0.0000 0.0000
0.0000 4.4694 0.0000
0.0000 0.0000 6.5467
ATOMIC_POSITIONS angstrom
Tm 0.0000 0.0000 0.0000
Zn 0.0000 0.0000 3.2733
Zn 2.2347 2.2347 0.0000
Ge 2.2347 2.2347 3.2733
Pd 0.0000 2.2347 1.7885
Pd 0.0000 2.2347 4.7582
Pd 2.2347 0.0000 1.7885
Pd 2.2347 0.0000 4.7582

=====

[21]
! TeMo2 (PBE, relaxed); values from VASP
! E above lowest polymorph: 0 meV/atom
! final energy: -45.8 eV/cell
! space group: Fd-3m
&SYSTEM
  ibrav = 0, nat = 6, ntyp = 2
/
ATOMIC_SPECIES
Te 127.60 Te.upf
Mo 95.94 Mo.upf
CELL_PARAMETERS angstrom
0.0000 3.8240 3.8240
3.8240 0.0000 3.8240
3.8240 3.8240 0.0000
ATOMIC_POSITIONS angstrom
Te 0.9560 0.9560 0.9560
Te 6.6920 6.6920 6.6920
Mo 3.8240 1.9120 1.9120
Mo 1.9120 3.8240 1.9120
Mo 1.9120 1.9120 3.8240
Mo 3.8240 3.8240 3.8240

=====

[22]
! AcPmSc (PBE, relaxed); values from VASP
! formation energy: 0.62 eV per atom
! E above lowest polymorph: 0 meV/atom
! final energy: -13.3 eV/cell
! space group: F-43m
&SYSTEM
  ibrav = 0, nat = 3, ntyp = 3
/
ATOMIC_SPECIES
Ac 227.00 Ac.upf
Pm 145.00 Pm.upf
Sc 44.96 Sc.upf
CELL_PARAMETERS angstrom
0.0000 3.8791 3.8791
3.8791 0.0000 3.8791
3.8791 3.8791 0.0000
ATOMIC_POSITIONS angstrom
Ac 0.0000 0.0000 0.0000
Pm 3.8791 3.8791 3.8791
Sc 1.9395 1.9395 1.9395